A plane-wave DFT calculation with PBE was carried out for an optimized crystal structure of GdTm2In3IrAu2.

a b c (Å): 3.9220 13.3567 7.6852
angles (deg): 90.00 90.00 90.00
Last column: nearest neighbours and their distance in Å.
Space group Amm2 (No. 38)
Asymmetric unit:
Gd (0.0000, 0.0000, 0.0000) x2  1 Ir 3.09, 4 Au 3.10, 6 In 3.30-3.33
Tm (0.0000, 0.1972, 0.4047) x4  1 Ir 3.02, 4 Au 3.06, 6 In 3.31-3.33
In (0.5000, 0.0000, 0.3451) x2  2 Ir 2.76, 2 Au 2.93
In (0.5000, 0.1279, 0.7297) x4  2 Ir 2.79, 2 Au 2.88-2.92
Ir (0.0000, 0.0000, 0.5983) x2  6 In 2.76-2.79, 2 Tm 3.02, 1 Gd 3.09
Au (0.5000, 0.1694, 0.1032) x4  3 In 2.88-2.93, 4 Tm 3.06, 2 Gd 3.10

- Calculated density: 11761 kg/m³
- Final energy: -4.864 eV/atom